Here is crystalline La8OsCl6 at its relaxed geometry from the Alexandria database. Energies are from GGA-PBE.

The calculation puts the total energy at -77.35 eV/cell. The value obtained for the calculated volume is 28.86 A^3/atom. Its formation energy from raw total energies is -100.5 kJ per mole of atoms.

It has space group P-31m (No. 162), with a = 8.9362 Å, b = 8.9362 Å, c = 6.2593 Å, α = 90.00°, β = 90.00° and γ = 120.00°. Symmetry generates all atoms from La at (0.0000, 0.2509, 0.2573), La at (0.3333, 0.6667, 0.0000), Os at (0.0000, 0.0000, 0.0000) and Cl at (0.0000, 0.4021, 0.7703).